# 1
HfInHgW2 | Alexandria via LeMat-Bulk | GGA-PBE | optimized geometry; symmetry = No. 123; formation enthalpy at 0 K = 1050 kJ/mol of formula units; magnetization = 0.00 μB per cell
1.0
4.982 0.000 0.000
0.000 4.982 0.000
0.000 0.000 4.872
Hf In Hg W
1 1 1 2
Cartesian
0.000 0.000 0.000
2.491 2.491 2.436
2.491 2.491 0.000
0.000 2.491 2.436
2.491 0.000 2.436

***

# 2
KAcSe | Alexandria via LeMat-Bulk | GGA-PBE | optimized geometry; symmetry = No. 107; energy relative to the elements, uncorrected = -955 meV/atom; magnetization = 0.00 μB per cell
1.0
-2.010 2.010 7.666
2.010 -2.010 7.666
2.010 2.010 -7.666
K Ac Se
1 1 1
Cartesian
0.000 0.000 0.000
0.000 0.000 3.958
0.000 0.000 10.272

***

# 3
Hf4CoPd | Alexandria via LeMat-Bulk | GGA-PBE | optimized geometry; symmetry = No. 15; formation enthalpy at 0 K = -193 kJ/mol of formula units; magnetization = 0.00 μB per cell
1.0
3.910 -5.591 0.000
3.910 5.591 0.000
-1.441 0.000 5.268
Hf Co Pd
8 2 2
Cartesian
1.790 3.521 5.031
1.404 0.966 3.144
3.868 3.521 2.871
2.124 -0.966 0.510
4.255 0.966 4.758
2.511 -3.521 2.397
4.975 -0.966 2.124
4.589 -3.521 0.237
3.550 5.545 1.317
2.829 -5.545 3.951
3.550 1.284 1.317
2.829 -1.284 3.951

***

# 4
Ba2SmAsO6 | Alexandria via LeMat-Bulk | GGA-PBE | optimized geometry; symmetry = No. 166; energy relative to the elements, uncorrected = -2428 meV/atom; magnetization = 0.00 μB per cell
1.0
2.985 1.724 10.279
-2.985 1.724 10.279
0.000 -3.447 10.279
Ba Sm As O
4 2 2 12
Cartesian
0.000 0.000 4.220
0.000 0.000 8.931
0.000 0.000 21.905
0.000 0.000 26.617
0.000 0.000 12.537
0.000 0.000 18.300
0.000 0.000 0.000
0.000 0.000 15.418
-1.341 -0.774 14.303
0.000 -1.899 11.345
-1.645 0.950 11.345
-1.645 -0.950 19.492
0.000 -1.548 16.533
-1.341 0.774 16.533
1.341 -0.774 14.303
0.000 1.548 14.303
1.645 0.950 11.345
1.645 -0.950 19.492
0.000 1.899 19.492
1.341 0.774 16.533

***

# 5
RbNb3Rh | Alexandria via LeMat-Bulk | GGA-PBE | optimized geometry; symmetry = No. 221; formation enthalpy at 0 K = 638 kJ/mol of formula units; magnetization = 1.24 μB per cell
1.0
5.019 0.000 0.000
0.000 5.019 0.000
0.000 0.000 5.019
Rb Nb Rh
1 3 1
Cartesian
0.000 0.000 0.000
0.000 2.510 2.510
2.510 0.000 2.510
2.510 2.510 0.000
2.510 2.510 2.510

***

# 6
Rb2Y2Pt | Alexandria via LeMat-Bulk | GGA-PBE | optimized geometry; symmetry = No. 139; formation enthalpy at 0 K = 273 kJ/mol of formula units; magnetization = 0.92 μB per cell
1.0
-2.037 2.037 10.309
2.037 -2.037 10.309
2.037 2.037 -10.309
Rb Y Pt
2 2 1
Cartesian
2.037 0.000 5.154
0.000 2.037 5.154
0.000 0.000 1.481
0.000 0.000 19.137
0.000 0.000 10.309

***

# 7
CaDy3Ru2 | Alexandria via LeMat-Bulk | GGA-PBE | optimized geometry; symmetry = No. 191; formation enthalpy at 0 K = -73 kJ/mol of formula units; magnetization = 0.00 μB per cell
1.0
6.957 0.000 0.000
-3.478 6.025 0.000
0.000 0.000 3.862
Ca Dy Ru
1 3 2
Cartesian
0.000 0.000 0.000
-1.739 3.012 1.931
3.478 0.000 1.931
1.739 3.012 1.931
0.000 4.017 0.000
3.478 2.008 0.000

***

# 8
CsIrI2N | Alexandria via LeMat-Bulk | GGA-PBE | optimized geometry; symmetry = No. 123; energy relative to the elements, uncorrected = 2172 meV/atom; magnetization = 4.61 μB per cell
1.0
6.838 0.000 0.000
0.000 6.838 0.000
0.000 0.000 4.573
Cs Ir I N
1 1 2 1
Cartesian
0.000 0.000 0.000
3.419 3.419 2.286
0.000 3.419 0.000
3.419 0.000 0.000
0.000 0.000 2.286